Entry from the Alexandria database: a relaxed structure of Re3NiW (PBEsol).

The structure in extended XYZ format:
```
5
Lattice="4.638 0.000 0.000 0.000 4.638 0.000 0.000 0.000 4.638" Properties=species:S:1:pos:R:3 pbc="T T T"
Re 0.000 0.000 2.319
Re 0.000 2.319 0.000
Re 2.319 0.000 0.000
Ni 2.319 2.319 2.319
W 0.000 0.000 0.000
```

Properties
For the magnetic moment, the calculation gives 0.00 μB/f.u. Its uncorrected energy is -9.2982 eV/atom. As for the density of states at the Fermi level: 1.1999 states/eV/atom. The formation energy from the elements is 259.9 kJ per mole of atoms. Its symmetry is Pm-3m, No. 221.



Entry from the Alexandria database: a relaxed structure of MnIn2Fe (PBEsol).

The structure in extended XYZ format:
```
4
Lattice="2.964 0.000 0.000 0.000 2.964 0.000 0.000 0.000 7.418" Properties=species:S:1:pos:R:3 pbc="T T T"
Mn 0.000 0.000 0.000
In 0.000 0.000 2.892
In 1.482 1.482 5.587
Fe 1.482 1.482 1.132
```

Properties
For the magnetic moment, the calculation gives 3.18 μB/f.u. Its uncorrected energy is -5.9082 eV/atom. As for the density of states at the Fermi level: 0.8076 states/eV/atom. The formation energy from the elements is 25.5 kJ per mole of atoms. Its symmetry is P4mm, No. 99.